Material: Sc2ReOs2
Method: DFT, GGA-PBE
State: relaxed

Summary:
final energy = -9.68 eV/atom
DOS(E_F) = 4.8 states/eV/f.u.
density = 11.86 g/cm3
E_form = -164.2 meV per atom
polymorph energy (0 for the lowest one) = 0.000 eV/atom

abc: 6.4785 6.4785 4.3809
angles: 90.00 90.00 90.00
Closest atoms and distances in Å follow each position.
Fractional positions:
1 Sc 0.1796 0.6796 0.5000  6 Os 2.78-3.00
2 Sc 0.6796 0.8204 0.5000  6 Os 2.78-3.00
3 Sc 0.8204 0.3204 0.5000  6 Os 2.78-3.00
4 Sc 0.3204 0.1796 0.5000  6 Os 2.78-3.00
5 Re 0.0000 0.0000 0.0000  4 Os 2.53
6 Re 0.5000 0.5000 0.0000  4 Os 2.53
7 Os 0.3661 0.8661 0.0000  1 Os 2.45, 2 Re 2.53
8 Os 0.8661 0.6339 0.0000  1 Os 2.45, 2 Re 2.53
9 Os 0.6339 0.1339 0.0000  1 Os 2.45, 2 Re 2.53
10 Os 0.1339 0.3661 0.0000  1 Os 2.45, 2 Re 2.53



Material: Pr8Pt2Rh3
Method: DFT, GGA-PBE
State: relaxed

Summary:
final energy = -6.18 eV/atom
DOS(E_F) = 14.5 states/eV/f.u.
density = 8.35 g/cm3
E_form = -611.8 meV per atom

abc: 5.0525 10.0947 8.7045
angles: 125.09 90.00 90.00
Closest atoms and distances in Å follow each position.
Fractional positions:
1 Pr 0.0000 0.6235 0.2465  2 Rh 3.04-3.07, 2 Pt 3.08
2 Pr 0.0000 0.3765 0.7535  2 Rh 3.04-3.07, 2 Pt 3.08
3 Pr 0.0000 0.1229 0.2455  4 Rh 3.07-3.10, 2 Pt 3.13
4 Pr 0.0000 0.8771 0.7545  4 Rh 3.07-3.10, 2 Pt 3.13
5 Pr 0.5000 0.6297 0.7548  3 Rh 3.06-3.07, 2 Pt 3.10-3.11
6 Pr 0.5000 0.1242 0.7539  3 Rh 3.04-3.07, 2 Pt 3.10-3.12
7 Pr 0.5000 0.8758 0.2461  3 Rh 3.04-3.07, 2 Pt 3.10-3.12
8 Pr 0.5000 0.3703 0.2452  3 Rh 3.06-3.07, 2 Pt 3.10-3.11
9 Pt 0.5000 0.2533 0.5058  8 Pr 3.08-3.13
10 Pt 0.5000 0.7467 0.4942  8 Pr 3.08-3.13
11 Rh 0.5000 0.0000 0.0000  8 Pr 3.04-3.07
12 Rh 0.0000 0.2523 0.9996  8 Pr 3.04-3.10
13 Rh 0.0000 0.7477 0.0004  8 Pr 3.04-3.10



Material: Ba2LiMg3In12
Method: DFT, GGA-PBE
State: relaxed

Summary:
final energy = -2.51 eV/atom
DOS(E_F) = 8.0 states/eV/f.u.
density = 5.35 g/cm3
E_form = -98.1 meV per atom

abc: 11.9213 11.9213 11.9213
angles: 36.56 36.56 36.56
Closest atoms and distances in Å follow each position.
Fractional positions:
1 Ba 0.6476 0.6476 0.6476  12 In 3.67-4.06
2 Ba 0.3524 0.3524 0.3524  12 In 3.67-4.06
3 Li 0.0000 0.0000 0.0000  6 In 2.85
4 Mg 0.5000 0.0000 0.0000  4 In 2.92
5 Mg 0.0000 0.5000 0.0000  4 In 2.92
6 Mg 0.0000 0.0000 0.5000  4 In 2.92
7 In 0.4142 0.4142 0.8250  2 Mg 2.92, 4 In 3.02-3.07
8 In 0.9235 0.9235 0.3491  1 Li 2.85, 4 In 3.02-3.18
9 In 0.3491 0.9235 0.9235  1 Li 2.85, 4 In 3.02-3.18
10 In 0.8250 0.4142 0.4142  2 Mg 2.92, 4 In 3.02-3.07
11 In 0.9235 0.3491 0.9235  1 Li 2.85, 4 In 3.02-3.18
12 In 0.4142 0.8250 0.4142  2 Mg 2.92, 4 In 3.02-3.07
13 In 0.5858 0.5858 0.1750  2 Mg 2.92, 4 In 3.02-3.07
14 In 0.0765 0.0765 0.6509  1 Li 2.85, 4 In 3.02-3.18
15 In 0.6509 0.0765 0.0765  1 Li 2.85, 4 In 3.02-3.18
16 In 0.1750 0.5858 0.5858  2 Mg 2.92, 4 In 3.02-3.07
17 In 0.0765 0.6509 0.0765  1 Li 2.85, 4 In 3.02-3.18
18 In 0.5858 0.1750 0.5858  2 Mg 2.92, 4 In 3.02-3.07



Material: Sb2AsRh
Method: DFT, GGA-PBE
State: relaxed

Summary:
ΔE_f (raw) = -26 kJ/mol of formula units
final energy = -5.13 eV/atom
DOS(E_F) = 1.9 states/eV/f.u.
density = 8.05 g/cm3

abc: 3.1426 3.1427 8.7964
angles: 90.00 90.00 89.99
Closest atoms and distances in Å follow each position.
Fractional positions:
1 Sb 0.0000 0.0000 0.9375  4 Rh 2.89, 4 Sb 3.14
2 Sb 0.5000 0.5000 0.2688  4 Sb 3.14, 4 As 3.44
3 As 0.0000 0.0000 0.5667  4 Rh 2.63
4 Rh 0.5000 0.5000 0.7270  4 As 2.63, 4 Sb 2.89



Material: HgTeIr2
Method: DFT, GGA-PBE
State: relaxed

Summary:
ΔE_f (raw) = 188 kJ/mol of formula units
final energy = -4.80 eV/atom
DOS(E_F) = 3.5 states/eV/f.u.
density = 15.09 g/cm3
polymorph energy (0 for the lowest one) = 0.078 eV/atom

abc: 6.3198 6.3198 6.3198
angles: 152.20 138.00 51.12
Closest atoms and distances in Å follow each position.
Fractional positions:
1 Hg 0.2726 0.7726 0.5000  6 Ir 2.75-3.00, 2 Hg 3.04
2 Ir 0.9448 0.9448 0.0000  4 Ir 2.78-3.04, 4 Te 2.94, 2 Hg 3.00
3 Ir 0.7406 0.2406 0.5000  2 Te 2.73, 4 Hg 2.75, 4 Ir 2.78-3.04
4 Te 0.5420 0.5420 0.0000  6 Ir 2.73-2.94, 2 Te 3.04



Material: LaCe3Y2P6
Method: DFT, GGA-PBE
State: relaxed

Summary:
final energy = -7.22 eV/atom
DOS(E_F) = 14.2 states/eV/f.u.
density = 5.26 g/cm3
E_form = -1547.9 meV per atom

abc: 7.0983 7.0983 7.0854
angles: 99.62 99.62 120.01
Closest atoms and distances in Å follow each position.
Fractional positions:
1 La 0.0000 0.0000 0.0000  6 P 2.95
2 Ce 0.1652 0.8348 0.5000  6 P 2.85-2.91
3 Ce 0.8348 0.1652 0.5000  6 P 2.85-2.91
4 Ce 0.5000 0.5000 0.5000  6 P 2.84-2.91
5 Y 0.3329 0.6671 0.0000  6 P 2.88-2.89
6 Y 0.6671 0.3329 0.0000  6 P 2.88-2.89
7 P 0.9155 0.5744 0.7468  3 Ce 2.85-2.91, 2 Y 2.88-2.89, 1 La 2.95
8 P 0.7427 0.7427 0.2516  3 Ce 2.84-2.90, 2 Y 2.88, 1 La 2.95
9 P 0.0845 0.4256 0.2532  3 Ce 2.85-2.91, 2 Y 2.88-2.89, 1 La 2.95
10 P 0.5744 0.9155 0.7468  3 Ce 2.85-2.91, 2 Y 2.88-2.89, 1 La 2.95
11 P 0.2573 0.2573 0.7484  3 Ce 2.84-2.90, 2 Y 2.88, 1 La 2.95
12 P 0.4256 0.0845 0.2532  3 Ce 2.85-2.91, 2 Y 2.88-2.89, 1 La 2.95



Material: BaNdTi4O12
Method: DFT, GGA-PBE
State: relaxed

Summary:
ΔE_f (raw) = -4640 kJ/mol of formula units
final energy = -8.10 eV/atom
DOS(E_F) = 4.8 states/eV/f.u.
density = 4.60 g/cm3

abc: 5.5449 5.5449 7.8117
angles: 90.00 90.00 90.00
Closest atoms and distances in Å follow each position.
Fractional positions:
1 Ba 0.5000 0.5000 0.0000  12 O 2.77-2.88
2 Nd 0.0000 0.0000 0.5000  12 O 2.65-2.77
3 Ti 0.0000 0.5000 0.7495  6 O 1.95-1.96
4 Ti 0.0000 0.5000 0.2505  6 O 1.95-1.96
5 Ti 0.5000 0.0000 0.7495  6 O 1.95-1.96
6 Ti 0.5000 0.0000 0.2505  6 O 1.95-1.96
7 O 0.2430 0.2430 0.7360  2 Ti 1.96
8 O 0.2430 0.2430 0.2640  2 Ti 1.96
9 O 0.7570 0.7570 0.7360  2 Ti 1.96
10 O 0.7570 0.7570 0.2640  2 Ti 1.96
11 O 0.7570 0.2430 0.7360  2 Ti 1.96
12 O 0.7570 0.2430 0.2640  2 Ti 1.96
13 O 0.2430 0.7570 0.7360  2 Ti 1.96
14 O 0.2430 0.7570 0.2640  2 Ti 1.96
15 O 0.0000 0.5000 0.5000  2 Ti 1.95
16 O 0.0000 0.5000 0.0000  2 Ti 1.96
17 O 0.5000 0.0000 0.5000  2 Ti 1.95
18 O 0.5000 0.0000 0.0000  2 Ti 1.96



Material: DySc3Pb
Method: DFT, GGA-PBE
State: relaxed

Summary:
final energy = -5.45 eV/atom
DOS(E_F) = 7.8 states/eV/f.u.
density = 5.98 g/cm3
E_form = 10.6 meV per atom

abc: 8.0588 8.0588 10.3608
angles: 78.69 78.69 58.77
Closest atoms and distances in Å follow each position.
Fractional positions:
1 Dy 0.7891 0.3872 0.8789  5 Sc 3.20-3.41, 1 Pb 3.25
2 Dy 0.6128 0.2109 0.6211  5 Sc 3.20-3.41, 1 Pb 3.25
3 Dy 0.2109 0.6128 0.1211  5 Sc 3.20-3.41, 1 Pb 3.25
4 Dy 0.3872 0.7891 0.3789  5 Sc 3.20-3.41, 1 Pb 3.25
5 Sc 0.9112 0.8027 0.8773  2 Sc 2.87-2.95, 1 Pb 2.97
6 Sc 0.1973 0.0888 0.6227  2 Sc 2.87-2.95, 1 Pb 2.97
7 Sc 0.0888 0.1973 0.1227  2 Sc 2.87-2.95, 1 Pb 2.97
8 Sc 0.8027 0.9112 0.3773  2 Sc 2.87-2.95, 1 Pb 2.97
9 Sc 0.6457 0.7906 0.6754  2 Pb 3.01-3.10, 4 Sc 3.13-3.32, 2 Dy 3.20-3.27
10 Sc 0.2094 0.3543 0.8246  2 Pb 3.01-3.10, 4 Sc 3.13-3.32, 2 Dy 3.20-3.27
11 Sc 0.3543 0.2094 0.3246  2 Pb 3.01-3.10, 4 Sc 3.13-3.32, 2 Dy 3.20-3.27
12 Sc 0.7906 0.6457 0.1754  2 Pb 3.01-3.10, 4 Sc 3.13-3.32, 2 Dy 3.20-3.27
13 Sc 0.1995 0.9644 0.9021  3 Sc 2.87-3.13, 2 Pb 2.96-2.98
14 Sc 0.0356 0.8005 0.5979  3 Sc 2.87-3.13, 2 Pb 2.96-2.98
15 Sc 0.9644 0.1995 0.4021  3 Sc 2.87-3.13, 2 Pb 2.96-2.98
16 Sc 0.8005 0.0356 0.0979  3 Sc 2.87-3.13, 2 Pb 2.96-2.98
17 Pb 0.0000 0.5000 0.5000  6 Sc 2.96-3.10
18 Pb 0.5000 0.0000 0.0000  6 Sc 2.96-3.10
19 Pb 0.6223 0.3777 0.2500  4 Sc 2.98-3.01, 2 Dy 3.25
20 Pb 0.3777 0.6223 0.7500  4 Sc 2.98-3.01, 2 Dy 3.25



Material: Pm4Zn5Ga2
Method: DFT, GGA-PBE
State: relaxed

Summary:
final energy = -3.19 eV/atom
DOS(E_F) = 7.8 states/eV/f.u.
density = 6.88 g/cm3
E_form = -334.5 meV per atom

abc: 3.9046 7.0853 9.1524
angles: 93.80 90.00 90.00
Closest atoms and distances in Å follow each position.
Fractional positions:
1 Pm 0.5000 0.7324 0.5704  4 Ga 3.08-3.14, 6 Zn 3.16-3.36
2 Pm 0.5000 0.1842 0.8788  2 Ga 3.04, 8 Zn 3.12-3.32
3 Pm 0.5000 0.2676 0.4296  4 Ga 3.08-3.14, 6 Zn 3.16-3.36
4 Pm 0.5000 0.8158 0.1212  2 Ga 3.04, 8 Zn 3.12-3.32
5 Zn 0.0000 0.5600 0.2936  2 Zn 2.69-2.80, 1 Ga 2.71
6 Zn 0.0000 0.1943 0.1568  2 Zn 2.68-2.80, 1 Ga 2.71
7 Zn 0.0000 0.5000 0.0000  4 Zn 2.68-2.69
8 Zn 0.0000 0.8057 0.8432  2 Zn 2.68-2.80, 1 Ga 2.71
9 Zn 0.0000 0.4400 0.7064  2 Zn 2.69-2.80, 1 Ga 2.71
10 Ga 0.0000 0.0626 0.6363  1 Ga 2.59, 2 Zn 2.71
11 Ga 0.0000 0.9374 0.3637  1 Ga 2.59, 2 Zn 2.71



Material: Ag3HgSb3
Method: DFT, GGA-PBE
State: relaxed

Summary:
ΔE_f (raw) = 257 kJ/mol of formula units
final energy = -2.65 eV/atom
DOS(E_F) = 2.5 states/eV/f.u.
density = 6.50 g/cm3

abc: 7.6895 7.6895 7.6895
angles: 90.00 90.00 90.00
Closest atoms and distances in Å follow each position.
Fractional positions:
1 Sb 0.0000 0.2500 0.5000  4 Ag 2.72
2 Sb 0.0000 0.7500 0.5000  4 Ag 2.72
3 Sb 0.5000 0.0000 0.7500  4 Ag 2.72
4 Sb 0.7500 0.5000 0.0000  4 Ag 2.72
5 Sb 0.5000 0.0000 0.2500  4 Ag 2.72
6 Sb 0.2500 0.5000 0.0000  4 Ag 2.72
7 Hg 0.5000 0.5000 0.5000  12 Sb 4.30, 12 Ag 4.30
8 Hg 0.0000 0.0000 0.0000  12 Sb 4.30, 12 Ag 4.30
9 Ag 0.2500 0.0000 0.5000  4 Sb 2.72
10 Ag 0.0000 0.5000 0.2500  4 Sb 2.72
11 Ag 0.5000 0.7500 0.0000  4 Sb 2.72
12 Ag 0.7500 0.0000 0.5000  4 Sb 2.72
13 Ag 0.0000 0.5000 0.7500  4 Sb 2.72
14 Ag 0.5000 0.2500 0.0000  4 Sb 2.72



Material: Ba2TiP2
Method: DFT, GGA-PBE
State: relaxed

Summary:
final energy = -5.04 eV/atom
DOS(E_F) = 3.0 states/eV/f.u.
density = 4.68 g/cm3
E_form = -529.5 meV per atom

abc: 7.5380 7.5380 4.7996
angles: 90.00 90.00 90.00
Closest atoms and distances in Å follow each position.
Fractional positions:
1 P 0.3279 0.8279 0.0000  2 Ti 2.79, 2 Ba 3.05
2 P 0.8279 0.6721 0.0000  2 Ti 2.79, 2 Ba 3.05
3 P 0.6721 0.1721 0.0000  2 Ti 2.79, 2 Ba 3.05
4 P 0.1721 0.3279 0.0000  2 Ti 2.79, 2 Ba 3.05
5 Ba 0.1506 0.6506 0.5000  6 P 3.05-3.42, 1 Ba 3.21
6 Ba 0.6506 0.8494 0.5000  6 P 3.05-3.42, 1 Ba 3.21
7 Ba 0.8494 0.3494 0.5000  6 P 3.05-3.42, 1 Ba 3.21
8 Ba 0.3494 0.1506 0.5000  6 P 3.05-3.42, 1 Ba 3.21
9 Ti 0.0000 0.0000 0.0000  4 P 2.79
10 Ti 0.5000 0.5000 0.0000  4 P 2.79